Entry from Alexandria via LeMat-Bulk: a geometry-optimized Na2ZnGa structure (PBE-GGA).

Calculated values
DFT formation energy: 0.699 eV per formula unit
electronic total energy: -6.2 eV per formula unit
density of states at the Fermi level: 0.516 states/eV per atom
magnetic moment: 0.00 μB per formula unit
space group: No. 122

Unit cell a=8.328 b=8.328 c=6.532 alpha=50.39 beta=50.39 gamma=90.00
Element x y z (fractional)
Na (0.617, 0.125, 0.250)
Na (0.133, 0.625, 0.250)
Na (0.375, 0.383, 0.750)
Na (0.875, 0.867, 0.750)
Zn (0.500, 0.500, 0.000)
Zn (0.250, 0.750, 0.500)
Ga (0.000, 0.000, 0.000)
Ga (0.750, 0.250, 0.500)

***

Entry from Alexandria via LeMat-Bulk: a geometry-optimized NaZnGa4 structure (PBE-GGA).

Calculated values
DFT formation energy: -0.367 eV per formula unit
electronic total energy: -15.1 eV per formula unit
excess energy over the best structure of this formula in the dataset: 0 meV per atom
density of states at the Fermi level: 0.282 states/eV per atom
magnetic moment: 0.00 μB per formula unit
space group: No. 12

Unit cell a=6.056 b=7.778 c=6.056 alpha=72.94 beta=65.50 gamma=72.94
Element x y z (fractional)
Na (0.193, 0.206, 0.193)
Na (0.807, 0.794, 0.807)
Zn (0.419, 0.825, 0.419)
Zn (0.581, 0.175, 0.581)
Ga (0.200, 0.737, 0.200)
Ga (0.816, 0.565, 0.392)
Ga (0.783, 0.000, 0.217)
Ga (0.608, 0.435, 0.184)
Ga (0.800, 0.263, 0.800)
Ga (0.184, 0.435, 0.608)
Ga (0.217, 0.000, 0.783)
Ga (0.392, 0.565, 0.816)

***

Entry from Alexandria via LeMat-Bulk: a geometry-optimized NaZnGa2 structure (PBE-GGA).

Calculated values
DFT formation energy: 0.083 eV per formula unit
electronic total energy: -8.6 eV per formula unit
density of states at the Fermi level: 0.179 states/eV per atom
magnetic moment: 0.00 μB per formula unit
space group: No. 123

Unit cell a=4.361 b=4.161 c=4.161 alpha=90.00 beta=90.00 gamma=90.00
Element x y z (fractional)
Na (0.500, 0.500, 0.500)
Zn (0.500, 0.000, 0.000)
Ga (0.000, 0.000, 0.500)
Ga (0.000, 0.500, 0.000)

***

Entry from Alexandria via LeMat-Bulk: a geometry-optimized NaZn2Ga10 structure (PBE-GGA).

Calculated values
DFT formation energy: -0.030 eV per formula unit
electronic total energy: -34.2 eV per formula unit
density of states at the Fermi level: 0.335 states/eV per atom
magnetic moment: 0.00 μB per formula unit
space group: No. 69

Unit cell a=5.118 b=8.348 c=6.721 alpha=83.30 beta=67.62 gamma=72.15
Element x y z (fractional)
Na (0.000, 0.000, 0.000)
Zn (0.000, 0.500, 0.000)
Zn (0.500, 0.500, 0.000)
Ga (0.358, 0.640, 0.644)
Ga (0.642, 0.360, 0.356)
Ga (0.998, 0.360, 0.644)
Ga (0.002, 0.640, 0.356)
Ga (0.000, 0.000, 0.500)
Ga (0.500, 0.000, 0.500)
Ga (0.278, 0.229, 0.215)
Ga (0.722, 0.771, 0.785)
Ga (0.507, 0.771, 0.215)
Ga (0.493, 0.229, 0.785)

***

Question: What is the formula in the third record?
Answer: NaZnGa2